Below is crystalline LaMg2Ni2 at its relaxed geometry, with properties calculated at the PBE level.

Properties
Its density of states at the Fermi level is 0.680 states/eV per atom. Its total energy is -39.89 eV for the cell shown. The formation energy is -53 meV/atom. The excess energy over the best structure of this formula in the dataset comes out at 205.6 meV/atom.

Cell and atoms, written as POSCAR:
```
LaMg2Ni2
1.0
-0.6247 -0.6110 7.8485
6.8147 -3.9835 0.2323
1.4619 2.5192 0.3125
La Mg Ni
2 4 4
Direct
0.5000 0.5000 0.0000
0.0000 0.0000 0.0000
0.8775 0.6225 0.0000
0.1225 0.3775 0.0000
0.6225 0.1225 0.0000
0.3775 0.8775 0.0000
0.1735 0.6735 0.5000
0.8265 0.3265 0.5000
0.3265 0.1735 0.5000
0.6735 0.8265 0.5000
```